Entry 1:
NaGaS2 PBE-GGA relaxed; density of states at the Fermi level = 0.00 states/eV/f.u.; raw total energy = -32.60 eV for the cell shown; energy relative to the elements, uncorrected = -89.2 kJ/mol of atoms
1.0
-5.461 4.344 3.210
-2.965 -2.248 0.160
2.684 -3.117 5.794
S Ga Na
4 2 2
Direct
0.419 0.658 0.336 S
0.955 0.389 0.247 S
0.729 0.001 0.786 S
0.192 0.270 0.875 S
0.895 0.418 0.919 Ga
0.253 0.241 0.203 Ga
0.742 0.997 0.388 Na
0.405 0.664 0.732 Na



Entry 2:
NaGaS2 PBE-GGA relaxed; density of states at the Fermi level = 0.00 states/eV/f.u.; raw total energy = -15.63 eV for the cell shown; energy relative to the elements, uncorrected = -73.0 kJ/mol of atoms
1.0
3.176 -1.834 0.000
0.000 3.667 0.000
0.000 0.000 7.142
S Ga Na
2 1 1
Direct
0.667 0.333 0.197 S
0.333 0.667 0.820 S
0.000 0.000 0.996 Ga
0.333 0.667 0.442 Na



Entry 3:
NaGaS2 PBE-GGA relaxed; density of states at the Fermi level = 0.00 states/eV/f.u.; raw total energy = -65.63 eV for the cell shown; energy relative to the elements, uncorrected = -91.8 kJ/mol of atoms
1.0
-4.169 2.201 -4.648
-4.969 -7.401 0.953
-3.518 2.948 4.552
Na S Ga
4 8 4
Direct
0.069 0.881 0.018 Na
0.431 0.381 0.518 Na
0.569 0.619 0.018 Na
0.931 0.119 0.518 Na
0.967 0.597 0.144 S
0.533 0.097 0.644 S
0.604 0.658 0.590 S
0.467 0.903 0.144 S
0.896 0.158 0.090 S
0.033 0.403 0.644 S
0.396 0.342 0.090 S
0.104 0.842 0.590 S
0.439 0.874 0.498 Ga
0.939 0.626 0.498 Ga
0.061 0.374 0.998 Ga
0.561 0.126 0.998 Ga



Entry 4:
NaGa2S4 PBE-GGA relaxed; density of states at the Fermi level = 4.17 states/eV/f.u.; raw total energy = -28.55 eV for the cell shown; energy relative to the elements, uncorrected = -64.3 kJ/mol of atoms
1.0
-3.152 3.675 -1.423
0.901 -1.102 -4.842
-5.381 -4.598 0.045
Ga Na S
2 1 4
Direct
0.000 0.500 0.500 Ga
0.500 0.000 0.500 Ga
0.000 0.000 0.000 Na
0.260 0.740 0.703 S
0.260 0.260 0.297 S
0.740 0.260 0.703 S
0.740 0.740 0.297 S



Entry 5:
Na2GaS PBE-GGA relaxed; density of states at the Fermi level = 0.92 states/eV/f.u.; raw total energy = -21.43 eV for the cell shown; energy above the lowest structure with this stoichiometry = 81.3 meV per atom; energy relative to the elements, uncorrected = -22.3 kJ/mol of atoms
1.0
4.596 0.000 0.000
0.000 4.596 0.000
2.298 2.298 9.385
Na S Ga
4 2 2
Direct
0.375 0.416 0.750 Na
0.584 0.125 0.250 Na
0.875 0.834 0.750 Na
0.166 0.625 0.250 Na
0.500 0.500 0.000 S
0.250 0.750 0.500 S
0.750 0.250 0.500 Ga
0.000 0.000 0.000 Ga



Entry 6:
NaGaS2 PBE-GGA relaxed; density of states at the Fermi level = 0.00 states/eV/f.u.; raw total energy = -16.12 eV for the cell shown; energy relative to the elements, uncorrected = -84.8 kJ/mol of atoms
1.0
3.624 0.000 -0.001
-0.002 3.624 0.003
-1.814 -1.801 6.408
S Ga Na
2 1 1
Direct
0.584 0.242 0.952 S
0.859 0.519 0.504 S
0.471 0.631 0.728 Ga
0.222 0.882 0.228 Na



Entry 7:
NaGaS2 PBE-GGA relaxed; density of states at the Fermi level = 0.00 states/eV/f.u.; raw total energy = -64.41 eV for the cell shown; energy relative to the elements, uncorrected = -84.5 kJ/mol of atoms
1.0
-1.693 6.921 -3.245
0.916 -1.383 -3.427
-14.632 -4.551 -2.074
Na S Ga
4 8 4
Direct
0.649 0.750 0.726 Na
0.351 0.250 0.274 Na
0.851 0.250 0.226 Na
0.149 0.750 0.774 Na
0.589 0.750 0.215 S
0.326 0.250 0.039 S
0.826 0.250 0.461 S
0.174 0.750 0.539 S
0.911 0.250 0.715 S
0.674 0.750 0.961 S
0.089 0.750 0.285 S
0.411 0.250 0.785 S
0.990 0.750 0.416 Ga
0.490 0.750 0.084 Ga
0.510 0.250 0.916 Ga
0.010 0.250 0.584 Ga



Entry 8:
Na14Ga2S9 PBE-GGA relaxed; density of states at the Fermi level = 10.09 states/eV/f.u.; raw total energy = -85.24 eV for the cell shown; energy relative to the elements, uncorrected = -91.0 kJ/mol of atoms
1.0
7.996 0.000 0.000
-3.998 6.925 0.000
0.000 0.000 11.172
S Na Ga
9 14 2
Direct
0.949 0.644 0.663 S
0.305 0.949 0.337 S
0.644 0.695 0.337 S
0.333 0.667 0.031 S
0.051 0.356 0.337 S
0.356 0.305 0.663 S
0.695 0.051 0.663 S
0.000 0.000 0.000 S
0.667 0.333 0.969 S
0.946 0.627 0.407 Na
0.000 0.000 0.252 Na
0.319 0.946 0.593 Na
0.326 0.352 0.909 Na
0.054 0.373 0.593 Na
0.373 0.319 0.407 Na
0.627 0.681 0.593 Na
0.974 0.326 0.091 Na
0.674 0.648 0.091 Na
0.000 0.000 0.748 Na
0.648 0.974 0.909 Na
0.681 0.054 0.407 Na
0.352 0.026 0.091 Na
0.026 0.674 0.909 Na
0.333 0.667 0.258 Ga
0.667 0.333 0.742 Ga



Entry 9:
NaGa3S PBE-GGA relaxed; density of states at the Fermi level = 3.07 states/eV/f.u.; raw total energy = -13.48 eV for the cell shown; energy above the lowest structure with this stoichiometry = 0.0 meV per atom; energy relative to the elements, uncorrected = 20.2 kJ/mol of atoms
1.0
5.156 0.000 0.000
0.000 5.156 0.000
0.000 0.000 5.156
Ga S Na
3 1 1
Direct
0.000 0.000 0.500 Ga
0.500 0.000 0.000 Ga
0.000 0.500 0.000 Ga
0.000 0.000 0.000 S
0.500 0.500 0.500 Na



Entry 10:
NaGaS PBE-GGA relaxed; density of states at the Fermi level = 0.00 states/eV/f.u.; raw total energy = -10.43 eV for the cell shown; energy above the lowest structure with this stoichiometry = 0.0 meV per atom; energy relative to the elements, uncorrected = -62.9 kJ/mol of atoms
1.0
5.686 0.000 0.000
0.000 3.709 0.000
0.000 -1.855 3.212
Ga Na S
1 1 1
Direct
0.067 0.000 0.000 Ga
0.631 0.333 0.667 Na
0.302 0.667 0.333 S



Entry 11:
Na2GaSbS4 PBE-GGA relaxed; density of states at the Fermi level = 0.00 states/eV/f.u.; raw total energy = -64.63 eV for the cell shown; energy relative to the elements, uncorrected = -72.6 kJ/mol of atoms
1.0
-5.970 -0.325 -0.743
0.941 -0.241 -7.455
0.457 -9.219 0.356
Na S Ga Sb
4 8 2 2
Direct
0.954 0.671 0.258 Na
0.954 0.671 0.742 Na
0.454 0.329 0.758 Na
0.454 0.329 0.242 Na
0.384 0.114 0.000 S
0.927 0.298 0.790 S
0.383 0.150 0.500 S
0.427 0.702 0.710 S
0.427 0.702 0.290 S
0.927 0.298 0.210 S
0.884 0.886 0.500 S
0.883 0.850 0.000 S
0.495 0.852 0.500 Ga
0.995 0.148 0.000 Ga
0.474 0.799 0.000 Sb
0.974 0.201 0.500 Sb



Entry 12:
NaGa2SbS6 PBE-GGA relaxed; raw total energy = -81.10 eV for the cell shown; energy relative to the elements, uncorrected = -41.4 kJ/mol of atoms
1.0
-4.676 -2.643 4.428
-6.757 -2.729 -5.136
2.452 -8.494 1.150
S Ga Na Sb
12 4 2 2
Direct
0.476 0.445 0.297 S
0.659 0.805 0.954 S
0.920 0.383 0.872 S
0.841 0.046 0.195 S
0.580 0.128 0.617 S
0.420 0.872 0.383 S
0.524 0.555 0.703 S
0.024 0.703 0.555 S
0.976 0.297 0.445 S
0.159 0.954 0.805 S
0.341 0.195 0.046 S
0.080 0.617 0.128 S
0.686 0.259 0.392 Ga
0.314 0.741 0.608 Ga
0.814 0.608 0.741 Ga
0.186 0.392 0.259 Ga
0.750 0.118 0.882 Na
0.250 0.882 0.118 Na
0.750 0.805 0.195 Sb
0.250 0.195 0.805 Sb